[1]
An optimized crystal structure of MgFeSiIr. Source: the Alexandria database, functional PBE.

Unit cell a=4.171 b=4.171 c=4.171 alpha=60.00 beta=60.00 gamma=60.00
Atoms (fractional coordinates):
Mg 0.000 0.000 0.000
Fe 0.250 0.250 0.250
Ir 0.750 0.750 0.750
Si 0.500 0.500 0.500

Properties
- Size of the total moment: 0.565 μB per formula unit
- Space group: F-43m (216)
- Formation energy (no corrections): -0.32 eV per atom
- Crystal system: cubic
- VASP energy: -6.409 eV/atom



[2]
An optimized crystal structure of MgTiFeIr. Source: the Alexandria database, functional PBE.

Unit cell a=4.317 b=4.317 c=4.317 alpha=60.00 beta=60.00 gamma=60.00
Atoms (fractional coordinates):
Fe 0.250 0.250 0.250
Mg 0.000 0.000 0.000
Ti 0.500 0.500 0.500
Ir 0.750 0.750 0.750

Properties
- E_form: -0.3614 eV/atom
- Size of the total moment: 0.670 μB per formula unit
- Space group: F-43m (216)
- Crystal system: cubic
- VASP energy: -7.065 eV/atom



[3]
An optimized crystal structure of MgFeIrW. Source: the Alexandria database, functional PBE.

Unit cell a=4.334 b=4.334 c=4.334 alpha=60.00 beta=60.00 gamma=60.00
Atoms (fractional coordinates):
Fe 0.500 0.500 0.500
W 0.250 0.250 0.250
Ir 0.000 0.000 0.000
Mg 0.750 0.750 0.750

Properties
- E_form: -0.0476 eV/atom
- Size of the total moment: 0.938 μB per formula unit
- Space group: F-43m (216)
- Crystal system: cubic
- VASP energy: -8.015 eV/atom



[4]
An optimized crystal structure of MgZnFeIr. Source: the Alexandria database, functional PBE.

Unit cell a=4.324 b=4.324 c=4.324 alpha=60.00 beta=60.00 gamma=60.00
Atoms (fractional coordinates):
Fe 0.500 0.500 0.500
Mg 0.750 0.750 0.750
Ir 0.250 0.250 0.250
Zn 0.000 0.000 0.000

Properties
- E_form: -0.1575 eV/atom
- Size of the total moment: 3.021 μB per formula unit
- Space group: F-43m (216)
- Crystal system: cubic
- VASP energy: -5.206 eV/atom



[5]
An optimized crystal structure of MgZnFeIr2. Source: the Alexandria database, functional PBE.

Unit cell a=4.482 b=4.453 c=4.482 alpha=90.00 beta=90.00 gamma=90.00
Atoms (fractional coordinates):
Ir 0.500 0.000 0.000
Mg 0.500 0.500 0.500
Ir 0.000 0.000 0.500
Fe 0.000 0.000 0.000
Zn 0.000 0.500 0.000

Properties
- E_form: 0.6705 eV/atom
- Size of the total moment: 0.000 μB per formula unit
- Space group: P4/mmm (123)
- Crystal system: tetragonal
- VASP energy: -5.140 eV/atom



[6]
An optimized crystal structure of MgZrFeIr. Source: the Alexandria database, functional PBE.

Unit cell a=4.482 b=4.482 c=4.482 alpha=60.00 beta=60.00 gamma=60.00
Atoms (fractional coordinates):
Ir 0.750 0.750 0.750
Fe 0.250 0.250 0.250
Zr 0.000 0.000 0.000
Mg 0.500 0.500 0.500

Properties
- E_form: -0.3156 eV/atom
- Size of the total moment: 0.660 μB per formula unit
- Space group: F-43m (216)
- Crystal system: cubic
- VASP energy: -7.182 eV/atom



Record-wise volume values, in Å³ per cell: 51; 57; 58; 57; 89; 64